Entry 1:
La2CeCo3 after structural relaxation, computed with GGA-PBE.

E_form (meV/atom): -161.4
Fermi-level density of states (states/eV per cell): 8.56
Total energy (eV per formula unit): -38.07
Symmetry: C2/c
ρ (g/cm³): 7.641

Structure (POSCAR):
```
La2CeCo3
1.0
1.898 2.323 -7.582
-2.702 -7.371 -2.205
-5.778 -1.477 7.465
La Ce Co
4 2 6
Direct
0.560 0.976 0.257
0.440 0.024 0.743
0.781 0.696 0.757
0.219 0.304 0.243
0.878 0.628 0.250
0.122 0.372 0.750
0.631 0.577 0.355
0.369 0.423 0.645
0.722 0.276 0.145
0.819 0.069 0.750
0.278 0.724 0.855
0.181 0.931 0.250
```

---

Entry 2:
CaZnGeIr after structural relaxation, computed with GGA-PBE.

E_form (meV/atom): -456.5
Fermi-level density of states (states/eV per cell): 1.10
Total energy (eV per formula unit): -18.58
Symmetry: R3m
ρ (g/cm³): 7.471

Structure (POSCAR):
```
CaZnGeIr
1.0
-2.932 2.703 -1.542
-4.159 -0.778 0.618
-2.209 3.342 4.133
Ca Zn Ge Ir
1 1 1 1
Direct
0.816 0.816 0.553
0.019 0.019 0.942
0.267 0.267 0.199
0.624 0.624 0.129
```

---

Entry 3:
CePm3Hg2 after structural relaxation, computed with GGA-PBE.

E_form (meV/atom): -16.1
Polymorph energy (0 for the lowest one) (eV/atom): 0.272
Fermi-level density of states (states/eV per cell): 26.90
Total energy (eV per formula unit): -20.89
Symmetry: Ibam
ρ (g/cm³): 7.851

Structure (POSCAR):
```
CePm3Hg2
1.0
-4.900 0.849 5.997
-5.833 -0.885 -4.641
5.532 -6.953 0.444
Ce Pm Hg
2 6 4
Direct
0.000 0.500 0.000
0.000 0.000 0.000
0.500 0.250 0.000
0.500 0.750 0.000
0.774 0.024 0.549
0.226 0.476 0.451
0.226 0.976 0.451
0.774 0.524 0.549
0.562 0.359 0.718
0.844 0.141 0.282
0.156 0.859 0.718
0.438 0.641 0.282
```